Entry from the Alexandria database: an optimized crystal structure of Na4BeAlSi4ClO12 (PBE).

abc: 7.625 7.625 7.625
angles: 110.21 110.21 108.00
Fractional positions:
1 Na 0.664 0.016 0.042
2 Na 0.974 0.621 0.958
3 Na 0.984 0.026 0.648
4 Na 0.379 0.336 0.352
5 Be 0.750 0.250 0.500
6 Al 0.250 0.750 0.500
7 Si 0.517 0.251 0.759
8 Si 0.749 0.509 0.267
9 Si 0.491 0.758 0.241
10 Si 0.242 0.483 0.733
11 Cl 0.000 0.000 0.000
12 O 0.699 0.312 0.309
13 O 0.709 0.424 0.016
14 O 0.308 0.291 0.716
15 O 0.688 0.997 0.387
16 O 0.003 0.390 0.691
17 O 0.408 0.692 0.984
18 O 0.610 0.301 0.613
19 O 0.287 0.562 0.573
20 O 0.438 0.010 0.724
21 O 0.286 0.713 0.276
22 O 0.990 0.714 0.427
23 O 0.576 0.592 0.284

SG: I-4, No. 82
Excess energy over the best structure of this formula in the dataset in meV per atom: 0.0
Theoretical density in Mg/m³: 2.3
Energy relative to the elements, uncorrected in eV/atom: -2.6165

***

Entry from the Alexandria database: an optimized crystal structure of Na4BeAlSi4ClO12 (PBE).

abc: 7.735 7.735 12.614
angles: 89.97 89.97 110.00
Fractional positions:
1 Na 0.189 0.721 0.823
2 Na 0.134 0.030 0.486
3 Na 0.656 0.182 0.691
4 Na 0.721 0.189 0.323
5 Na 0.182 0.656 0.191
6 Na 0.484 0.625 0.499
7 Na 0.030 0.134 0.986
8 Na 0.625 0.484 0.999
9 Be 0.368 0.125 0.879
10 Be 0.125 0.368 0.379
11 Al 0.881 0.638 0.623
12 Al 0.638 0.881 0.123
13 Si 0.998 0.015 0.748
14 Si 0.607 0.874 0.870
15 Si 0.489 0.496 0.255
16 Si 0.123 0.384 0.626
17 Si 0.874 0.607 0.370
18 Si 0.496 0.489 0.755
19 Si 0.015 0.998 0.248
20 Si 0.384 0.123 0.126
21 Cl 0.499 0.001 0.500
22 Cl 0.001 0.499 0.000
23 O 0.493 0.690 0.799
24 O 0.824 0.952 0.833
25 O 0.513 0.024 0.845
26 O 0.995 0.216 0.704
27 O 0.023 0.176 0.315
28 O 0.176 0.023 0.815
29 O 0.104 0.318 0.505
30 O 0.344 0.456 0.351
31 O 0.024 0.513 0.345
32 O 0.456 0.344 0.851
33 O 0.510 0.692 0.199
34 O 0.065 0.562 0.654
35 O 0.690 0.493 0.299
36 O 0.607 0.804 0.991
37 O 0.692 0.510 0.699
38 O 0.343 0.436 0.659
39 O 0.804 0.607 0.491
40 O 0.876 0.961 0.147
41 O 0.961 0.876 0.647
42 O 0.562 0.065 0.154
43 O 0.952 0.824 0.333
44 O 0.216 0.995 0.204
45 O 0.318 0.104 0.005
46 O 0.436 0.343 0.159

SG: Cc, No. 9
Excess energy over the best structure of this formula in the dataset in meV per atom: 45.3
Theoretical density in Mg/m³: 2.2
Energy relative to the elements, uncorrected in eV/atom: -2.5713

***

Entry from the Alexandria database: an optimized crystal structure of Na8BeAl4Si7Cl2O24 (PBE).

abc: 8.957 8.957 9.012
angles: 90.00 90.00 90.00
Fractional positions:
1 Na 0.183 0.326 0.069
2 Na 0.674 0.183 0.931
3 Na 0.326 0.817 0.931
4 Na 0.817 0.674 0.069
5 Na 0.705 0.820 0.561
6 Na 0.180 0.705 0.439
7 Na 0.820 0.295 0.439
8 Na 0.295 0.180 0.561
9 Be 0.000 0.000 0.500
10 Al 0.752 0.499 0.751
11 Al 0.501 0.752 0.249
12 Al 0.499 0.248 0.249
13 Al 0.248 0.501 0.751
14 Si 0.000 0.000 0.000
15 Si 0.500 0.500 0.000
16 Si 0.759 0.995 0.254
17 Si 0.241 0.005 0.254
18 Si 0.500 0.500 0.500
19 Si 0.995 0.241 0.746
20 Si 0.005 0.759 0.746
21 Cl 0.500 0.000 0.749
22 Cl 0.000 0.500 0.251
23 O 0.356 0.446 0.903
24 O 0.047 0.143 0.898
25 O 0.853 0.340 0.805
26 O 0.147 0.660 0.805
27 O 0.644 0.554 0.903
28 O 0.953 0.857 0.898
29 O 0.554 0.356 0.097
30 O 0.143 0.953 0.102
31 O 0.857 0.047 0.102
32 O 0.446 0.644 0.097
33 O 0.660 0.853 0.195
34 O 0.858 0.951 0.395
35 O 0.552 0.646 0.403
36 O 0.344 0.860 0.292
37 O 0.656 0.140 0.292
38 O 0.340 0.147 0.195
39 O 0.142 0.049 0.395
40 O 0.448 0.354 0.403
41 O 0.049 0.858 0.605
42 O 0.646 0.448 0.597
43 O 0.951 0.142 0.605
44 O 0.354 0.552 0.597
45 O 0.140 0.344 0.708
46 O 0.860 0.656 0.708

SG: P-4, No. 81
Theoretical density in Mg/m³: 2.2
Energy relative to the elements, uncorrected in eV/atom: -2.6029

***

Entry from the Alexandria database: an optimized crystal structure of Be2AlClO (PBE).

abc: 4.614 4.612 4.614
angles: 90.00 90.00 90.00
Site moments in Bohr magnetons follow the coordinates.
Fractional positions:
1 Be 0.000 0.000 0.500  0.01
2 Be 0.500 0.000 0.000  0.03
3 Al 0.000 0.000 0.000  0.01
4 O 0.500 0.500 0.500  0.13
5 Cl 0.000 0.500 0.000  0.01

SG: P4/mmm, No. 123
Theoretical density in Mg/m³: 1.6
Energy relative to the elements, uncorrected in eV/atom: 1.0791